# 1
VASP calculation (PBE) on a relaxed structure of CsRb15Na4.

Properties
Total moment (μB/cell): 0.00
Space group: P4/mmm, No. 123
Energy relative to the elements (eV/atom): 0.029

Unit cell a=6.9578 b=6.9578 c=32.7901 alpha=90.00 beta=90.00 gamma=90.00
Closest atoms and distances in Å follow each position.
Fractional coordinates of all 20 atoms:
Cs (0.0000, 0.0000, 0.0000)  12 Rb 4.92-5.19
Rb (0.5000, 0.5000, 0.0000)  4 Cs 4.92, 8 Rb 5.19
Rb (0.5000, 0.5000, 0.2127)  8 Rb 4.67-4.68, 4 Na 4.92
Rb (0.5000, 0.5000, 0.4039)  8 Rb 4.69, 4 Na 4.92
Rb (0.5000, 0.5000, 0.5961)  8 Rb 4.69, 4 Na 4.92
Rb (0.5000, 0.5000, 0.7873)  8 Rb 4.67-4.68, 4 Na 4.92
Rb (0.5000, 0.0000, 0.1176)  2 Na 4.63, 6 Rb 4.67-4.92
Rb (0.5000, 0.0000, 0.3080)  8 Rb 4.68-4.92, 4 Na 4.70-4.72
Rb (0.5000, 0.0000, 0.5000)  4 Na 4.68, 8 Rb 4.69-4.92
Rb (0.5000, 0.0000, 0.6920)  8 Rb 4.68-4.92, 4 Na 4.70-4.72
Rb (0.5000, 0.0000, 0.8824)  2 Na 4.63, 6 Rb 4.67-4.92
Rb (0.0000, 0.5000, 0.1176)  2 Na 4.63, 6 Rb 4.67-4.92
Rb (0.0000, 0.5000, 0.3080)  8 Rb 4.68-4.92, 4 Na 4.70-4.72
Rb (0.0000, 0.5000, 0.5000)  4 Na 4.68, 8 Rb 4.69-4.92
Rb (0.0000, 0.5000, 0.6920)  8 Rb 4.68-4.92, 4 Na 4.70-4.72
Rb (0.0000, 0.5000, 0.8824)  2 Na 4.63, 6 Rb 4.67-4.92
Na (0.0000, 0.0000, 0.2108)  12 Rb 4.63-4.92
Na (0.0000, 0.0000, 0.4045)  12 Rb 4.68-4.92
Na (0.0000, 0.0000, 0.5955)  12 Rb 4.68-4.92
Na (0.0000, 0.0000, 0.7892)  12 Rb 4.63-4.92

# 2
VASP calculation (PBE) on a relaxed structure of Cs3RbNa3.

Properties
Total moment (μB/cell): 0.00
E above lowest polymorph (meV per atom): 0
Space group: P2_1/m, No. 11
Energy relative to the elements (eV/atom): 0.033

Unit cell a=6.0655 b=14.7105 c=14.7105 alpha=120.24 beta=90.00 gamma=90.00
Closest atoms and distances in Å follow each position.
Fractional coordinates of all 14 atoms:
Cs (0.2500, 0.6171, 0.6719)  4 Na 4.40-4.61
Cs (0.2500, 0.0549, 0.3824)  4 Na 4.40-4.62
Cs (0.2500, 0.3271, 0.9452)  4 Na 4.41-4.61
Cs (0.7500, 0.3829, 0.3281)  4 Na 4.40-4.61
Cs (0.7500, 0.9451, 0.6176)  4 Na 4.40-4.62
Cs (0.7500, 0.6729, 0.0548)  4 Na 4.41-4.61
Rb (0.7500, 0.3333, 0.6673)  9 Cs 5.12-5.39
Rb (0.2500, 0.6667, 0.3327)  9 Cs 5.12-5.39
Na (0.7500, 0.8484, 0.8714)  6 Na 3.59-3.67
Na (0.7500, 0.0234, 0.1514)  6 Na 3.59-3.67
Na (0.7500, 0.1278, 0.9773)  6 Na 3.59-3.67
Na (0.2500, 0.1516, 0.1286)  6 Na 3.59-3.67
Na (0.2500, 0.9766, 0.8486)  6 Na 3.59-3.67
Na (0.2500, 0.8722, 0.0227)  6 Na 3.59-3.67

Theoretical density (Mg/m³)
1.58 1.62